10
Lattice="3.2406 1.8710 6.1360 -3.2406 1.8710 6.1360 0.0000 -3.7419 6.1360" Properties=species:S:1:pos:R:3 comment="Nd3C2 (PBE, relaxed)" sg=R-3c energy_ry_per_atom=-0.4794 pbc="T T T"
Nd -2.2317 -0.1234 7.6700
Nd -1.0090 -1.9944 10.7380
Nd 1.2227 -1.8710 7.6700
Nd -1.2227 1.8710 10.7380
Nd 1.0090 1.9944 7.6700
Nd 2.2317 0.1234 10.7380
C 0.0000 0.0000 2.8769
C 0.0000 0.0000 6.3271
C 0.0000 0.0000 12.0809
C 0.0000 0.0000 15.5311

=====

20
Lattice="-4.3088 4.3088 4.3088 4.3088 -4.3088 4.3088 4.3088 4.3088 -4.3088" Properties=species:S:1:pos:R:3 comment="Nd2C3 (PBE, relaxed)" sg=I-43d energy_ry_per_atom=-0.5592 pbc="T T T"
Nd 2.5987 1.7101 -1.7101
Nd 4.7531 -0.4443 0.4443
Nd 1.7101 -1.7101 2.5987
Nd 1.7101 1.7101 1.7101
Nd -1.7101 2.5987 1.7101
Nd 0.4443 4.7531 -0.4443
Nd -0.4443 0.4443 4.7531
Nd 3.8645 3.8645 3.8645
C 4.3088 -2.1544 2.5665
C 4.3088 -2.1544 3.8966
C 2.5665 4.3088 -2.1544
C 3.8966 4.3088 -2.1544
C 4.3088 2.1544 0.4122
C 4.3088 2.1544 1.7422
C 2.1544 0.4122 4.3088
C 2.1544 1.7422 4.3088
C 0.4122 4.3088 2.1544
C 1.7422 4.3088 2.1544
C -2.1544 2.5665 4.3088
C -2.1544 3.8966 4.3088